A relaxed HgMoAu2 crystal. Source: Alexandria, functional GGA-PBE.

For the total moment, the calculation gives 1.2 μB/f.u. The density of states at the Fermi level comes out at 3.44 states/eV/f.u. The formation energy comes out at 0.4342 eV/atom. The calculated volume is 18.6 A^3/atom.

The space group is P4/mmm (No. 123) and the conventional cell measures 5.1633, 5.1633 and 2.7960 Å, with angles of 90.00, 90.00 and 90.00 degrees. Symmetry generates all atoms from Hg at (0.0000, 0.0000, 0.0000), Mo at (0.5000, 0.5000, 0.0000) and Au at (0.0000, 0.5000, 0.5000).

---

A relaxed KY2PuO8 crystal. Source: Alexandria, functional GGA-PBE.

For the total moment, the calculation gives 0.9 μB/f.u. For the raw formation energy, the calculation gives -241.1 kJ/mol of atoms. The calculated volume is 15.2 A^3/atom.

The space group is P-1 (No. 2) and the conventional cell measures 4.4485, 5.2295 and 7.8507 Å, with angles of 91.77, 93.10 and 92.81 degrees. Symmetry generates all atoms from K at (0.0000, 0.0000, 0.0000), Y at (0.4343, 0.4741, 0.7218), Pu at (0.0000, 0.0000, 0.5000), O at (0.0860, 0.7137, 0.3139), O at (0.1784, 0.8398, 0.6990), O at (0.3594, 0.2455, 0.4733) and O at (0.4525, 0.3583, 0.0016).

---

A relaxed Sm2HoMg crystal. Source: Alexandria, functional GGA-PBE.

For the total moment, the calculation gives 0.0 μB/f.u. The density of states at the Fermi level comes out at 4.69 states/eV/f.u. The formation energy comes out at -0.0278 eV/atom. The excess energy over the best structure of this formula in the dataset comes out at 0.000 eV/atom. The calculated volume is 30.6 A^3/atom.

The space group is P4/mmm (No. 123) and the conventional cell measures 3.6814, 3.6814 and 9.0176 Å, with angles of 90.00, 90.00 and 90.00 degrees. Symmetry generates all atoms from Sm at (0.0000, 0.0000, 0.2308), Ho at (0.5000, 0.5000, 0.5000) and Mg at (0.5000, 0.5000, 0.0000).

---

A relaxed Ca2PbW crystal. Source: Alexandria, functional GGA-PBE.

For the total moment, the calculation gives 2.7 μB/f.u. The density of states at the Fermi level comes out at 3.21 states/eV/f.u. The formation energy comes out at 0.6292 eV/atom. The calculated volume is 25.7 A^3/atom.

The space group is P4/mmm (No. 123) and the conventional cell measures 4.7068, 4.7068 and 4.6393 Å, with angles of 90.00, 90.00 and 90.00 degrees. Symmetry generates all atoms from Ca at (0.0000, 0.5000, 0.0000), Pb at (0.0000, 0.0000, 0.5000) and W at (0.5000, 0.5000, 0.5000).

---

A relaxed Pm3Ga2Au6 crystal. Source: Alexandria, functional GGA-PBE.

For the total moment, the calculation gives 0.0 μB/f.u. The density of states at the Fermi level comes out at 8.03 states/eV/f.u. The formation energy comes out at -0.5350 eV/atom. The calculated volume is 22.8 A^3/atom.

The space group is I4/mmm (No. 139) and the conventional cell measures 4.0727, 4.0727 and 30.2867 Å, with angles of 90.00, 90.00 and 90.00 degrees. Symmetry generates all atoms from Pm at (0.0000, 0.0000, 0.0000), Pm at (0.0000, 0.0000, 0.1763), Ga at (0.0000, 0.0000, 0.3662), Au at (0.0000, 0.0000, 0.2769) and Au at (0.0000, 0.5000, 0.0779).

---

A relaxed Li4Tm3Pb4 crystal. Source: Alexandria, functional GGA-PBE.

For the total moment, the calculation gives 0.0 μB/f.u. The density of states at the Fermi level comes out at 2.42 states/eV/f.u. The formation energy comes out at -0.4167 eV/atom. The calculated volume is 22.8 A^3/atom.

The space group is Immm (No. 71) and the conventional cell measures 4.6164, 7.2269 and 15.0641 Å, with angles of 90.00, 90.00 and 90.00 degrees. Symmetry generates all atoms from Li at (0.0000, 0.1901, 0.1751), Tm at (0.0000, 0.0000, 0.3748), Tm at (0.0000, 0.5000, 0.5000), Pb at (0.0000, 0.2893, 0.0000) and Pb at (0.0000, 0.5000, 0.2846).

---

A relaxed FeTc2Os crystal. Source: Alexandria, functional GGA-PBE.

For the total moment, the calculation gives 2.9 μB/f.u. The density of states at the Fermi level comes out at 3.67 states/eV/f.u. The formation energy comes out at 0.2057 eV/atom. The excess energy over the best structure of this formula in the dataset comes out at 0.128 eV/atom. The calculated volume is 13.9 A^3/atom.

The space group is Immm (No. 71) and the conventional cell measures 3.0297, 4.2294 and 8.6792 Å, with angles of 90.00, 90.00 and 90.00 degrees. Symmetry generates all atoms from Fe at (0.0000, 0.0000, 0.0000), Tc at (0.0000, 0.5000, 0.2667) and Os at (0.0000, 0.0000, 0.5000).

---

A relaxed CaLa4Dy4 crystal. Source: Alexandria, functional GGA-PBE.

For the total moment, the calculation gives 0.0 μB/f.u. The density of states at the Fermi level comes out at 12.13 states/eV/f.u. The formation energy comes out at 0.0610 eV/atom. The calculated volume is 35.0 A^3/atom.

The space group is P-1 (No. 2) and the conventional cell measures 6.7986, 9.2369 and 10.7278 Å, with angles of 105.17, 100.12 and 96.66 degrees. Symmetry generates all atoms from Ca at (0.0076, 0.2613, 0.2551), La at (0.1302, 0.3586, 0.6082), La at (0.2256, 0.9561, 0.4006), La at (0.3277, 0.0670, 0.7453), La at (0.4087, 0.6538, 0.9483), Dy at (0.0589, 0.3144, 0.9334), Dy at (0.2705, 0.0274, 0.0658), Dy at (0.3354, 0.5800, 0.2497) and Dy at (0.4514, 0.6887, 0.5918).

---

A relaxed Pa3Ge4Au2 crystal. Source: Alexandria, functional GGA-PBE.

For the total moment, the calculation gives 0.6 μB/f.u. The density of states at the Fermi level comes out at 9.72 states/eV/f.u. The formation energy comes out at -0.1584 eV/atom. The calculated volume is 21.4 A^3/atom.

The space group is Immm (No. 71) and the conventional cell measures 3.1903, 10.0050 and 12.0682 Å, with angles of 90.00, 90.00 and 90.00 degrees. Symmetry generates all atoms from Pa at (0.0000, 0.0000, 0.0000), Pa at (0.0000, 0.5000, 0.1616), Ge at (0.0000, 0.1883, 0.1826) and Au at (0.0000, 0.1872, 0.5000).

---

A relaxed La2ErPt crystal. Source: Alexandria, functional GGA-PBE.

For the total moment, the calculation gives 0.0 μB/f.u. The density of states at the Fermi level comes out at 5.05 states/eV/f.u. The formation energy comes out at -0.2687 eV/atom. The excess energy over the best structure of this formula in the dataset comes out at 0.220 eV/atom. The calculated volume is 34.2 A^3/atom.

The space group is R-3m (No. 166, hexagonal axes) and the conventional cell measures 3.8487, 3.8487 and 31.9942 Å, with angles of 90.00, 90.00 and 120.00 degrees. Symmetry generates all atoms from La at (0.0000, 0.0000, 0.1082), Er at (0.0000, 0.0000, 0.0000) and Pt at (0.0000, 0.0000, 0.5000).

---

A relaxed PrNdGaHg crystal. Source: Alexandria, functional GGA-PBE.

For the total moment, the calculation gives 0.4 μB/f.u. The density of states at the Fermi level comes out at 5.55 states/eV/f.u. The formation energy comes out at -0.4922 eV/atom. The excess energy over the best structure of this formula in the dataset comes out at 0.020 eV/atom. The calculated volume is 27.4 A^3/atom.

The space group is F-43m (No. 216) and the conventional cell measures 7.5931, 7.5931 and 7.5931 Å, with angles of 90.00, 90.00 and 90.00 degrees. Symmetry generates all atoms from Pr at (0.0000, 0.0000, 0.0000), Nd at (0.0000, 0.0000, 0.5000), Ga at (0.2500, 0.2500, 0.2500) and Hg at (0.2500, 0.2500, 0.7500).

---

A relaxed SnH6Ir2Pd crystal. Source: Alexandria, functional GGA-PBE.

The value obtained for the total DFT energy (no corrections) is -4.59 eV per atom. For the total moment, the calculation gives 0.0 μB/f.u. The density of states at the Fermi level comes out at 1.52 states/eV/f.u. The calculated volume is 9.5 A^3/atom.

The space group is C2/c (No. 15) and the conventional cell measures 7.7872, 9.0961 and 5.4216 Å, with angles of 90.00, 98.03 and 90.00 degrees. Symmetry generates all atoms from Sn at (0.0000, 0.1412, 0.2500), H at (0.0901, 0.4133, 0.1003), H at (0.1560, 0.2709, 0.6638), H at (0.2273, 0.0438, 0.5803), Ir at (0.1934, 0.1270, 0.8462) and Pd at (0.0000, 0.4166, 0.7500).